i | Computed, not measured: a geometry-optimized CsBa2Ag structure at the PBE level of DFT.

Output
Calculated density (g cm⁻³): 4.7

Cell: 9.0205 9.0205 9.0205 Å, 90.00 90.00 90.00°
Closest atoms and distances in Å follow each position.
Space group Fm-3m (No. 225)
Unique sites:
Cs (0.0000, 0.0000, 0.0000)  8 Ba 3.91
Ba (0.2500, 0.2500, 0.2500)  4 Cs 3.91, 4 Ag 3.91
Ag (0.0000, 0.0000, 0.5000)  8 Ba 3.91

***

ii | Computed, not measured: a geometry-optimized CsBa2Ag structure at the PBE level of DFT.

Output
Calculated density (g cm⁻³): 3.9

Cell: 4.2796 4.2796 12.0969 Å, 90.00 90.00 90.00°
Closest atoms and distances in Å follow each position.
Space group P4/mmm (No. 123)
Unique sites:
Cs (0.0000, 0.0000, 0.0000)  4 Cs 4.28
Ba (0.5000, 0.5000, 0.3402)  4 Ag 3.59, 1 Ba 3.87
Ag (0.0000, 0.0000, 0.5000)  8 Ba 3.59

***

Which of them is most stable, and which least? Most stable: ii; least stable: i.

***

i | Computed, not measured: a geometry-optimized CsBa2Ag structure at the PBE level of DFT.

Output
Calculated density (g cm⁻³): 3.3

Cell: 4.9928 4.9928 35.8784 Å, 90.00 90.00 120.00°
Closest atoms and distances in Å follow each position.
Space group R3m (No. 160, hexagonal axes)
Unique sites:
Cs (0.0000, 0.0000, 0.0000)  6 Cs 4.99, 6 Ba 5.09-5.13
Ba (0.0000, 0.0000, 0.5484)  3 Ag 3.38
Ba (0.0000, 0.0000, 0.7836)  3 Ag 3.38
Ag (0.0000, 0.0000, 0.1659)  6 Ba 3.38

***

ii | Computed, not measured: a geometry-optimized CsBa2Ag structure at the PBE level of DFT.

Output
Calculated density (g cm⁻³): 3.1

Cell: 4.9195 4.9195 39.3533 Å, 90.00 90.00 120.00°
Closest atoms and distances in Å follow each position.
Space group R-3m (No. 166, hexagonal axes)
Unique sites:
Cs (0.0000, 0.0000, 0.0000)  2 Ba 4.76, 6 Cs 4.92
Ba (0.0000, 0.0000, 0.1210)  3 Ag 3.36
Ag (0.0000, 0.0000, 0.5000)  6 Ba 3.36

***

Which of them is most stable, and which least? Most stable: i; least stable: ii.

***

i | Computed, not measured: a geometry-optimized BaCu3Ag structure at the PBE level of DFT.

Output
Calculated density (g cm⁻³): 6.0

Cell: 4.9393 4.9393 4.9393 Å, 90.00 90.00 90.00°
Closest atoms and distances in Å follow each position.
Space group Pm-3m (No. 221)
Unique sites:
Ba (0.0000, 0.0000, 0.0000)  12 Cu 3.49
Cu (0.0000, 0.5000, 0.5000)  2 Ag 2.47
Ag (0.5000, 0.5000, 0.5000)  6 Cu 2.47

***

ii | Computed, not measured: a geometry-optimized BaCu3Ag structure at the PBE level of DFT.

Output
Calculated density (g cm⁻³): 4.0

Cell: 5.6404 5.6404 5.6404 Å, 90.00 90.00 90.00°
Closest atoms and distances in Å follow each position.
Space group Pm-3m (No. 221)
Unique sites:
Ba (0.0000, 0.0000, 0.0000)  6 Cu 2.82
Cu (0.0000, 0.0000, 0.5000)  2 Ba 2.82
Ag (0.5000, 0.5000, 0.5000)  12 Cu 3.99

***

Which of them is most stable, and which least? Most stable: i; least stable: ii.

***

i | Computed, not measured: a geometry-optimized BaLi2CuAg structure at the PBE level of DFT.

Output
Calculated density (g cm⁻³): 4.2

Cell: 4.9443 4.9443 5.1992 Å, 90.00 90.00 90.00°
Closest atoms and distances in Å follow each position.
Space group P4/mmm (No. 123)
Unique sites:
Ba (0.0000, 0.0000, 0.0000)  4 Ag 3.50, 8 Li 3.59
Li (0.0000, 0.5000, 0.5000)  2 Cu 2.47
Cu (0.5000, 0.5000, 0.5000)  4 Li 2.47, 2 Ag 2.60
Ag (0.5000, 0.5000, 0.0000)  2 Cu 2.60

***

ii | Computed, not measured: a geometry-optimized BaLi2CuAg structure at the PBE level of DFT.

Output
Calculated density (g cm⁻³): 4.1

Cell: 4.9954 4.9954 5.1814 Å, 90.00 90.00 90.00°
Closest atoms and distances in Å follow each position.
Space group P4/mmm (No. 123)
Unique sites:
Ba (0.0000, 0.0000, 0.0000)  4 Cu 3.53, 8 Li 3.60
Li (0.0000, 0.5000, 0.5000)  2 Ag 2.50
Cu (0.5000, 0.5000, 0.0000)  2 Ag 2.59
Ag (0.5000, 0.5000, 0.5000)  4 Li 2.50, 2 Cu 2.59

***

Which of them is most stable, and which least? Most stable: i; least stable: ii.

***

i | Computed, not measured: a geometry-optimized Ba2CuAgN structure at the PBE level of DFT.

Output
Calculated density (g cm⁻³): 5.6

Cell: 7.1575 4.2878 9.5037 Å, 90.00 110.03 90.00°
Closest atoms and distances in Å follow each position.
Space group P2_1/m (No. 11)
Unique sites:
Ba (0.1932, 0.2500, 0.3696)  2 N 2.86
Ba (0.2118, 0.2500, 0.9686)  3 N 2.64-2.92
Cu (0.4561, 0.7500, 0.2500)  1 N 1.88
Ag (0.3233, 0.7500, 0.6940)  2 Cu 2.61
N (0.1776, 0.7500, 0.1674)  1 Cu 1.88

***

ii | Computed, not measured: a geometry-optimized Ba2CuAgN structure at the PBE level of DFT.

Output
Calculated density (g cm⁻³): 6.0

Cell: 5.8250 5.8250 3.7768 Å, 90.00 90.00 90.00°
Closest atoms and distances in Å follow each position.
Space group P4/mmm (No. 123)
Unique sites:
Ba (0.0000, 0.5000, 0.0000)  2 N 2.91
Cu (0.0000, 0.0000, 0.5000)  2 N 1.89
Ag (0.5000, 0.5000, 0.5000)  8 Ba 3.47, 2 Ag 3.78
N (0.0000, 0.0000, 0.0000)  2 Cu 1.89

***

Which of them is most stable, and which least? Most stable: i; least stable: ii.

***

i | Computed, not measured: a geometry-optimized BaDyAg2 structure at the PBE level of DFT.

Output
Calculated density (g cm⁻³): 7.5

Cell: 5.5266 5.5266 3.7400 Å, 90.00 90.00 90.00°
Closest atoms and distances in Å follow each position.
Space group P4/mmm (No. 123)
Unique sites:
Ba (0.0000, 0.0000, 0.0000)  8 Ag 3.34
Dy (0.5000, 0.5000, 0.0000)  8 Ag 3.34
Ag (0.0000, 0.5000, 0.5000)  4 Dy 3.34, 4 Ba 3.34

***

ii | Computed, not measured: a geometry-optimized BaDyAg2 structure at the PBE level of DFT.

Output
Calculated density (g cm⁻³): 6.7

Cell: 5.1184 5.1184 16.9515 Å, 90.00 90.00 120.00°
Closest atoms and distances in Å follow each position.
Space group R-3m (No. 166, hexagonal axes)
Unique sites:
Ba (0.0000, 0.0000, 0.0000)  8 Ag 3.43-3.70
Dy (0.0000, 0.0000, 0.5000)  6 Ag 3.02
Ag (0.0000, 0.0000, 0.2022)  3 Dy 3.02, 3 Ag 3.19

***

Which of them is most stable, and which least? Most stable: ii; least stable: i.

***

i | Computed, not measured: a geometry-optimized BaDyAg2 structure at the PBE level of DFT.

Output
Calculated density (g cm⁻³): 7.4

Cell: 3.8253 3.8253 7.8598 Å, 90.00 90.00 90.00°
Closest atoms and distances in Å follow each position.
Space group P4/mmm (No. 123)
Unique sites:
Ba (0.0000, 0.0000, 0.0000)  8 Ag 3.61, 4 Ba 3.83, 2 Dy 3.93
Dy (0.0000, 0.0000, 0.5000)  8 Ag 3.11
Ag (0.5000, 0.5000, 0.3047)  1 Ag 3.07, 4 Dy 3.11

***

ii | Computed, not measured: a geometry-optimized BaDyAg2 structure at the PBE level of DFT.

Output
Calculated density (g cm⁻³): 7.4

Cell: 7.7416 7.7416 7.7416 Å, 90.00 90.00 90.00°
Closest atoms and distances in Å follow each position.
Space group Fm-3m (No. 225)
Unique sites:
Ba (0.0000, 0.0000, 0.0000)  8 Ag 3.35
Dy (0.0000, 0.0000, 0.5000)  8 Ag 3.35
Ag (0.2500, 0.2500, 0.2500)  4 Ba 3.35, 4 Dy 3.35

***

Which of them is most stable, and which least? Most stable: i; least stable: ii.